Entry 1:
Below is a PBEsol-optimized structure of DyCuSi, with properties calculated at the SCAN level.

The space group is P6_3/mmc (No. 194) and the conventional cell measures 4.0980, 4.0980 and 7.3576 Å, with angles of 90.00, 90.00 and 120.00 degrees. The asymmetric unit holds Dy at (0.0000, 0.0000, 0.0000), Cu at (0.3333, 0.6667, 0.2500) and Si at (0.3333, 0.6667, 0.7500).

For the energy, the calculation gives -0.9204 hartree per atom. As for the raw formation energy: -0.707 eV per atom. As for the total magnetization: 0.000 μB per atom. The value obtained for the density of states at the Fermi level is 1.454 states/eV per cell.

Entry 2:
Below is a PBEsol-optimized structure of La2TlCl, with properties calculated at the SCAN level.

The space group is P2/m (No. 10) and the conventional cell measures 3.806, 3.804 and 8.282 Å, with angles of 90.00, 90.15 and 90.00 degrees. The asymmetric unit holds La at (0.001, 0.000, 0.239), Tl at (0.500, 0.500, 0.000) and Cl at (0.000, 0.500, 0.500).

For the energy, the calculation gives -1.5731 hartree per atom. As for the raw formation energy: -1.171 eV per atom. As for the total magnetization: 0.095 μB per atom. The value obtained for the density of states at the Fermi level is 2.588 states/eV per cell.

Entry 3:
Below is a PBEsol-optimized structure of Mg2AsPb, with properties calculated at the SCAN level.

The space group is C2/m (No. 12) and the conventional cell measures 8.639, 3.857 and 5.682 Å, with angles of 90.00, 107.60 and 90.00 degrees. The asymmetric unit holds Mg at (0.230, 0.000, 0.213), As at (0.000, 0.500, 0.000) and Pb at (0.000, 0.000, 0.500).

For the energy, the calculation gives -0.9818 hartree per atom. The formation energy is -0.238 eV per atom. As for the total magnetization: 0.000 μB per atom. The value obtained for the density of states at the Fermi level is 2.109 states/eV per cell.

Entry 4:
Below is a PBEsol-optimized structure of NaLi2Sb2, with properties calculated at the SCAN level.

The space group is I4/mmm (No. 139) and the conventional cell measures 4.496, 4.496 and 11.866 Å, with angles of 90.00, 90.00 and 90.00 degrees. The asymmetric unit holds Na at (0.000, 0.000, 0.000), Li at (0.000, 0.500, 0.250) and Sb at (0.000, 0.000, 0.385).

For the energy, the calculation gives -0.6306 hartree per atom. As for the raw formation energy: -0.457 eV per atom. As for the total magnetization: 0.000 μB per atom. The value obtained for the density of states at the Fermi level is 2.425 states/eV per cell.

Entry 5:
Below is a PBEsol-optimized structure of PAuCl3, with properties calculated at the SCAN level.

The space group is Pm-3m (No. 221) and the conventional cell measures 4.701, 4.701 and 4.701 Å, with angles of 90.00, 90.00 and 90.00 degrees. The asymmetric unit holds P at (0.000, 0.000, 0.000), Au at (0.500, 0.500, 0.500) and Cl at (0.000, 0.000, 0.500).

For the energy, the calculation gives -0.7514 hartree per atom. As for the raw formation energy: 0.252 eV per atom. As for the total magnetization: 0.000 μB per atom. The value obtained for the density of states at the Fermi level is 1.938 states/eV per cell.

Entry 6:
Below is a PBEsol-optimized structure of Li2MoOs, with properties calculated at the SCAN level.

The space group is C2/m (No. 12) and the conventional cell measures 5.078, 9.299 and 2.530 Å, with angles of 90.00, 108.14 and 90.00 degrees. The asymmetric unit holds Li at (0.250, 0.250, 0.000), Mo at (0.000, 0.000, 0.500) and Os at (0.000, 0.500, 0.500).

For the energy, the calculation gives -1.0149 hartree per atom. The formation energy is 0.269 eV per atom. As for the total magnetization: 0.000 μB per atom. The value obtained for the density of states at the Fermi level is 4.540 states/eV per cell.

Entry 7:
Below is a PBEsol-optimized structure of Ba2ThCu2S5, with properties calculated at the SCAN level.

The space group is C2/m (No. 12) and the conventional cell measures 13.490, 4.073 and 9.299 Å, with angles of 90.00, 115.54 and 90.00 degrees. The asymmetric unit holds Ba at (0.177, 0.000, 0.193), Th at (0.000, 0.000, 0.500), Cu at (0.053, 0.500, 0.797), S at (0.000, 0.500, 0.000), S at (0.115, 0.500, 0.431) and S at (0.146, 0.000, 0.816).

For the energy, the calculation gives -0.9962 hartree per atom. As for the raw formation energy: -1.753 eV per atom. As for the total magnetization: 0.000 μB per atom.

Entry 8:
Below is a PBEsol-optimized structure of K2LiRh, with properties calculated at the SCAN level.

The space group is F-43m (No. 216) and the conventional cell measures 7.287, 7.287 and 7.287 Å, with angles of 90.00, 90.00 and 90.00 degrees. The asymmetric unit holds K at (0.000, 0.000, 0.000), K at (0.250, 0.250, 0.250), Li at (0.250, 0.250, 0.750) and Rh at (0.000, 0.000, 0.500).

For the energy, the calculation gives -0.4675 hartree per atom. The formation energy is 0.483 eV per atom. As for the total magnetization: 0.027 μB per atom. The value obtained for the density of states at the Fermi level is 4.593 states/eV per cell.

Entry 9:
Below is a PBEsol-optimized structure of SiAs2Au, with properties calculated at the SCAN level.

The space group is C2/m (No. 12) and the conventional cell measures 5.698, 8.904 and 2.868 Å, with angles of 90.00, 106.17 and 90.00 degrees. The asymmetric unit holds Si at (0.000, 0.000, 0.000), As at (0.250, 0.250, 0.500) and Au at (0.000, 0.500, 0.000).

For the energy, the calculation gives -1.0800 hartree per atom. As for the raw formation energy: 0.500 eV per atom. As for the total magnetization: 0.000 μB per atom. The value obtained for the density of states at the Fermi level is 3.558 states/eV per cell.

Entry 10:
Below is a PBEsol-optimized structure of Mn2CBr, with properties calculated at the SCAN level.

The space group is Fm-3m (No. 225) and the conventional cell measures 5.482, 5.482 and 5.482 Å, with angles of 90.00, 90.00 and 90.00 degrees. The asymmetric unit holds Mn at (0.250, 0.250, 0.250), C at (0.000, 0.000, 0.000) and Br at (0.000, 0.000, 0.500).

For the energy, the calculation gives -0.5493 hartree per atom. As for the raw formation energy: 1.571 eV per atom. As for the total magnetization: 0.001 μB per atom. The value obtained for the density of states at the Fermi level is 13.697 states/eV per cell.

Entry 11:
Below is a PBEsol-optimized structure of CaLaIn, with properties calculated at the SCAN level.

The space group is P6_3/mmc (No. 194) and the conventional cell measures 5.5207, 5.5207 and 6.9555 Å, with angles of 90.00, 90.00 and 120.00 degrees. The asymmetric unit holds Ca at (0.0000, 0.0000, 0.0000), La at (0.3333, 0.6667, 0.2500) and In at (0.3333, 0.6667, 0.7500).

For the energy, the calculation gives -1.0768 hartree per atom. The formation energy is -0.583 eV per atom. As for the total magnetization: 0.000 μB per atom. The value obtained for the density of states at the Fermi level is 0.878 states/eV per cell.

Entry 12:
Below is a PBEsol-optimized structure of Li3Ti3VO8, with properties calculated at the SCAN level.

The space group is C2/m (No. 12) and the conventional cell measures 10.041, 5.770 and 5.963 Å, with angles of 90.00, 124.54 and 90.00 degrees. The asymmetric unit holds Li at (0.000, 0.000, 0.000), Li at (0.250, 0.250, 0.000), Ti at (0.000, 0.000, 0.500), Ti at (0.250, 0.250, 0.500), V at (0.000, 0.500, 0.500), O at (0.008, 0.243, 0.275), O at (0.238, 0.000, 0.725) and O at (0.248, 0.500, 0.739).

For the energy, the calculation gives -0.4058 hartree per atom. As for the raw formation energy: -2.870 eV per atom. As for the total magnetization: 0.130 μB per atom. The value obtained for the density of states at the Fermi level is 7.293 states/eV per cell.